one:
First-principles (PBE-GGA) data for Tb2LuTe after structural relaxation, as listed in the Alexandria database.

## Properties
Mass density: 8.17 g/cm3
V: 126 Å³/f.u.

Cell lengths 3.846, 3.846, 10.097 Å; angles 79.02, 79.02, 60.00 degrees
Fractional positions:
Te1 0.000 0.000 0.000
Tb1 0.740 0.740 0.781
Tb2 0.260 0.260 0.219
Lu1 0.500 0.500 0.500

***

two:
First-principles (PBE-GGA) data for Tb2LuTe after structural relaxation, as listed in the Alexandria database.

## Properties
Mass density: 8.95 g/cm3
V: 115 Å³/f.u.

Cell lengths 3.925, 3.925, 7.472 Å; angles 90.00, 90.00, 90.00 degrees
Fractional positions:
Lu1 0.500 0.500 0.500
Tb1 0.000 0.000 0.767
Tb2 0.000 0.000 0.233
Te1 0.500 0.500 0.000

***

Most stable: two

***

one:
First-principles (PBE-GGA) data for Tb2TmLu after structural relaxation, as listed in the Alexandria database.

## Properties
Mass density: 8.85 g/cm3
V: 124 Å³/f.u.

Cell lengths 5.601, 5.601, 5.601 Å; angles 60.00, 60.00, 60.00 degrees
Fractional positions:
Tb1 0.750 0.750 0.750
Tb2 0.250 0.250 0.250
Lu1 0.000 0.000 0.000
Tm1 0.500 0.500 0.500

***

two:
First-principles (PBE-GGA) data for Tb2TmLu after structural relaxation, as listed in the Alexandria database.

## Properties
Mass density: 8.98 g/cm3
V: 122 Å³/f.u.

Cell lengths 3.513, 3.513, 9.912 Å; angles 90.00, 90.00, 90.00 degrees
Fractional positions:
Tm1 0.500 0.500 0.500
Lu1 0.500 0.500 0.000
Tb1 0.000 0.000 0.249
Tb2 0.000 0.000 0.751

***

Most stable: two

***

one:
First-principles (PBE-GGA) data for TbTmLu after structural relaxation, as listed in the Alexandria database.

## Properties
Mass density: 9.21 g/cm3
V: 91 Å³/f.u.

Cell lengths 3.490, 3.490, 7.844 Å; angles 102.85, 102.85, 90.00 degrees
Fractional positions:
Lu1 0.668 0.668 0.335
Tm1 0.332 0.332 0.664
Tb1 0.000 0.000 0.001

***

two:
First-principles (PBE-GGA) data for TbTmLu after structural relaxation, as listed in the Alexandria database.

## Properties
Mass density: 9.23 g/cm3
V: 90 Å³/f.u.

Cell lengths 3.400, 5.542, 5.542 Å; angles 120.00, 90.00, 90.00 degrees
Fractional positions:
Tm1 0.167 0.333 0.667
Lu1 0.167 0.000 0.000
Tb1 0.667 0.667 0.333

***

Most stable: one

***

one:
First-principles (PBE-GGA) data for TbTm2Lu after structural relaxation, as listed in the Alexandria database.

## Properties
Mass density: 9.26 g/cm3
V: 120 Å³/f.u.

Cell lengths 4.945, 4.935, 4.935 Å; angles 90.00, 90.00, 90.00 degrees
Fractional positions:
Tb1 0.500 0.500 0.500
Tm1 0.000 0.500 0.000
Lu1 0.500 0.000 0.000
Tm2 0.000 0.000 0.500

***

two:
First-principles (PBE-GGA) data for TbTm2Lu after structural relaxation, as listed in the Alexandria database.

## Properties
Mass density: 9.09 g/cm3
V: 123 Å³/f.u.

Cell lengths 5.578, 5.578, 5.578 Å; angles 60.00, 60.00, 60.00 degrees
Fractional positions:
Tm1 0.750 0.750 0.750
Tb1 0.000 0.000 0.000
Tm2 0.250 0.250 0.250
Lu1 0.500 0.500 0.500

***

Most stable: one

***

one:
First-principles (PBE-GGA) data for TbLu2V after structural relaxation, as listed in the Alexandria database.

## Properties
Mass density: 8.92 g/cm3
V: 104 Å³/f.u.

Cell lengths 3.398, 3.398, 10.607 Å; angles 80.78, 80.78, 60.00 degrees
Fractional positions:
Tb1 0.500 0.500 0.500
V1 0.000 0.000 0.000
Lu1 0.738 0.738 0.787
Lu2 0.262 0.262 0.213

***

two:
First-principles (PBE-GGA) data for TbLu2V after structural relaxation, as listed in the Alexandria database.

## Properties
Mass density: 8.81 g/cm3
V: 106 Å³/f.u.

Cell lengths 3.532, 3.532, 8.458 Å; angles 90.00, 90.00, 90.00 degrees
Fractional positions:
Lu1 0.000 0.000 0.199
V1 0.500 0.500 0.000
Lu2 0.000 0.000 0.801
Tb1 0.500 0.500 0.500

***

Most stable: two

***

one:
First-principles (PBE-GGA) data for TbYLu2 after structural relaxation, as listed in the Alexandria database.

## Properties
Mass density: 7.97 g/cm3
V: 125 Å³/f.u.

Cell lengths 5.606, 5.606, 5.606 Å; angles 60.00, 60.00, 60.00 degrees
Fractional positions:
Lu1 0.250 0.250 0.250
Y1 0.000 0.000 0.000
Lu2 0.750 0.750 0.750
Tb1 0.500 0.500 0.500

***

two:
First-principles (PBE-GGA) data for TbYLu2 after structural relaxation, as listed in the Alexandria database.

## Properties
Mass density: 8.08 g/cm3
V: 123 Å³/f.u.

Cell lengths 3.521, 3.521, 9.907 Å; angles 90.00, 90.00, 90.00 degrees
Fractional positions:
Lu1 0.000 0.000 0.751
Lu2 0.000 0.000 0.249
Tb1 0.500 0.500 0.000
Y1 0.500 0.500 0.500

***

Most stable: two